Compound: Y2InSn2Rh5
Source: Alexandria via LeMat-Bulk
Functional: PBE
Structure: optimized geometry

Properties
The total energy comes out at -6.625 eV per atom. The energy of formation is -0.58 eV/atom. The density of states at the Fermi level comes out at 7.4 states/eV per cell. Its space-group type is P4/mbm (127).

The structure in POSCAR format:
```
Y2InSn2Rh5
1.0
10.154 0.000 0.000
0.000 10.154 0.000
0.000 0.000 3.744
Y In Sn Rh
4 2 4 10
Direct
0.171 0.329 0.000
0.329 0.829 0.000
0.671 0.171 0.000
0.829 0.671 0.000
0.000 0.000 0.000
0.500 0.500 0.000
0.127 0.627 0.000
0.373 0.127 0.000
0.627 0.873 0.000
0.873 0.373 0.000
0.000 0.500 0.500
0.063 0.798 0.500
0.202 0.063 0.500
0.298 0.563 0.500
0.437 0.298 0.500
0.500 0.000 0.500
0.563 0.702 0.500
0.702 0.437 0.500
0.798 0.937 0.500
0.937 0.202 0.500
```